InPbCl5 | PBE | optimized geometry

Cell and atoms, written as extended XYZ:
```
14
Lattice="-6.150 3.160 1.174 -4.633 -2.130 -4.815 -6.467 -6.533 4.133" Properties=species:S:1:pos:R:3 pbc="T T T"
Cl -9.328 0.414 -1.732
Cl -9.626 -6.532 -1.152
In -3.233 -3.267 2.066
Cl -4.962 -1.696 1.237
Cl -7.922 -5.916 2.225
Cl -7.624 1.030 1.645
Cl -12.288 -3.806 -0.745
Cl -9.698 -1.700 1.254
Cl -5.858 -0.549 -3.208
In 0.000 0.000 0.000
Pb -10.193 -4.553 1.089
Pb -7.056 -0.950 -0.596
Cl -11.392 -4.954 3.700
Cl -7.552 -3.803 -0.762
```

Summary:
SG: C2/c, No. 15
Spin magnetization, μB/atom: 0.00
Formation energy (no corrections), eV per formula unit: -7.4
Offset from the most stable computed form, kJ per mole of atoms: 0.9

Gd2CrCd | PBE | optimized geometry

Cell and atoms, written as extended XYZ:
```
4
Lattice="3.611 0.000 0.000 0.000 3.611 0.000 0.000 0.000 7.704" Properties=species:S:1:pos:R:3 pbc="T T T"
Gd 0.000 0.000 5.951
Cr 1.805 1.805 0.000
Cd 1.805 1.805 3.852
Gd 0.000 0.000 1.753
```

Summary:
SG: P4/mmm, No. 123
Energy of formation, eV per atom: 0.01
Spin magnetization, μB/atom: 2.73

KInSbTe3 | PBE | optimized geometry

Cell and atoms, written as extended XYZ:
```
12
Lattice="-4.711 -0.544 -1.665 3.176 -2.740 -8.089 -0.950 -9.065 5.649" Properties=species:S:1:pos:R:3 pbc="T T T"
Te 0.849 -6.512 -4.065
Te -0.823 -3.982 -7.748
Te -0.252 -9.348 -0.026
K -1.732 -9.583 -3.348
Te -2.233 -3.001 -4.080
Sb -3.318 -9.273 1.040
K -0.753 -2.766 -0.758
Sb 0.834 -3.076 -5.146
Te -1.661 -8.367 3.641
Te -3.333 -5.837 -0.041
In -1.413 -5.941 2.145
In -1.072 -6.408 -6.251
```

Summary:
SG: P2_1/m, No. 11
Spin magnetization, μB/atom: 0.00
Formation energy (no corrections), eV per formula unit: -2.3

AlFeAg2 | PBE | optimized geometry

Cell and atoms, written as extended XYZ:
```
8
Lattice="3.774 0.000 0.000 0.000 3.774 0.000 1.887 1.887 9.654" Properties=species:S:1:pos:R:3 pbc="T T T"
Fe 0.000 0.000 0.000
Ag 4.717 4.718 7.241
Ag 0.943 2.830 2.414
Al 1.887 1.887 0.000
Ag 2.831 0.943 2.414
Fe 3.774 1.887 4.827
Al 1.887 3.774 4.827
Ag 2.830 2.830 7.241
```

Summary:
SG: I-42d, No. 122
Energy of formation, eV per atom: 0.38
Spin magnetization, μB/atom: 0.60

Dy3TlHg6 | PBE | optimized geometry

Cell and atoms, written as extended XYZ:
```
20
Lattice="4.911 0.000 0.000 0.000 9.168 -4.022 0.000 -1.354 11.910" Properties=species:S:1:pos:R:3 pbc="T T T"
Dy 1.228 5.419 8.337
Hg 1.228 1.107 1.326
Dy 3.683 2.395 -0.449
Hg 1.228 7.934 -0.530
Hg 3.683 6.706 6.563
Tl 3.683 0.176 5.222
Hg 1.228 4.423 -1.040
Hg 1.228 5.417 5.122
Hg 3.683 -0.120 8.419
Dy 3.683 3.667 5.817
Hg 3.683 3.390 8.929
Hg 3.683 2.397 2.766
Hg 1.228 -0.557 10.249
Hg 3.683 5.702 3.107
Dy 1.228 4.146 2.071
Hg 3.683 8.371 -2.360
Dy 1.228 1.650 7.929
Tl 1.228 7.638 2.666
Hg 1.228 2.112 4.782
Dy 3.683 6.163 -0.040
```

Summary:
SG: P2_1/m, No. 11
Energy of formation, eV per atom: -0.32
Spin magnetization, μB/atom: 0.00

LiCdIr2 | PBE | optimized geometry

Cell and atoms, written as extended XYZ:
```
4
Lattice="-1.431 -2.025 -4.918 3.630 -2.880 -2.977 -3.012 0.588 4.574" Properties=species:S:1:pos:R:3 pbc="T T T"
Ir 2.164 -4.829 -7.772
Cd 0.841 -2.334 -1.114
Li 1.124 -2.509 -4.038
Ir -1.646 -2.003 -2.240
```

Summary:
SG: Imm2, No. 44
Energy of formation, eV per atom: 0.14
Spin magnetization, μB/atom: 0.00

CoCu2Si | PBE | optimized geometry

Cell and atoms, written as extended XYZ:
```
4
Lattice="-2.648 -2.644 -0.447 -0.145 -0.437 3.444 -2.468 2.437 0.205" Properties=species:S:1:pos:R:3 pbc="T T T"
Cu 0.000 0.000 0.000
Cu -1.307 1.000 1.825
Si -1.397 -1.541 1.499
Co -2.558 -0.103 -0.121
```

Summary:
SG: P4/mmm, No. 123
Spin magnetization, μB/atom: 0.00
Formation energy (no corrections), eV per formula unit: -0.5

LiTmNiBi | PBE | optimized geometry

Cell and atoms, written as extended XYZ:
```
4
Lattice="-2.213 4.028 -1.157 -4.351 0.875 1.662 -0.655 3.367 3.270" Properties=species:S:1:pos:R:3 pbc="T T T"
Ni -1.805 2.067 0.944
Bi -3.609 4.135 1.888
Li -5.414 6.202 2.831
Tm 0.000 0.000 0.000
```

Summary:
SG: F-43m, No. 216
Energy of formation, eV per atom: -0.32
Spin magnetization, μB/atom: 0.00

Mg2Zn2Pd7 | PBE | optimized geometry

Cell and atoms, written as extended XYZ:
```
11
Lattice="-4.969 2.178 -2.176 0.214 -2.246 -4.000 -0.708 -7.292 1.706" Properties=species:S:1:pos:R:3 pbc="T T T"
Mg -0.708 -2.392 -1.345
Pd -0.833 -4.914 0.220
Pd -2.259 -3.499 -3.622
Pd 0.000 0.000 0.000
Zn -3.477 -1.737 -2.221
Pd -3.610 -7.584 -2.564
Zn -1.985 -5.623 -2.250
Mg -4.755 -4.969 -3.126
Pd -4.629 -2.446 -4.690
Pd -3.203 -3.861 -0.849
Pd -1.852 0.223 -1.907
```

Summary:
SG: P-1, No. 2
Energy of formation, eV per atom: -0.44
Spin magnetization, μB/atom: 0.00

Pu2Ge3Os | PBE | optimized geometry

Cell and atoms, written as extended XYZ:
```
6
Lattice="3.780 0.000 0.000 0.000 4.383 0.000 0.000 0.000 7.395" Properties=species:S:1:pos:R:3 pbc="T T T"
Pu 0.000 0.000 3.783
Os 1.890 2.192 4.972
Ge 1.890 2.192 2.481
Ge 1.890 0.000 6.153
Ge 1.890 0.000 1.243
Pu 0.000 2.192 7.253
```

Summary:
SG: Pmm2, No. 25
Energy of formation, eV per atom: -0.29
Spin magnetization, μB/atom: 1.62
Offset from the most stable computed form, kJ per mole of atoms: 0.9

K2SrHf3O8 | PBE | optimized geometry

Cell and atoms, written as extended XYZ:
```
14
Lattice="-2.539 2.477 -5.508 2.670 -1.486 -5.795 -3.709 -4.569 -4.241" Properties=species:S:1:pos:R:3 pbc="T T T"
Hf 0.065 0.493 -5.634
O -1.757 0.595 -6.715
Hf -1.258 1.229 -2.764
O -2.931 -3.007 -11.689
O -0.645 -0.569 -3.854
Sr -1.189 -0.733 -11.469
O 0.570 -1.174 -6.843
O -4.190 -2.491 -8.698
Hf 1.322 -0.733 -2.906
K -2.275 -2.697 -4.060
O -1.893 -4.238 -8.825
O -0.564 -0.068 -9.302
O -3.071 -3.583 -6.270
K -1.810 -1.817 -7.775
```

Summary:
SG: R3m, No. 160
Spin magnetization, μB/atom: 0.00
Formation energy (no corrections), eV per formula unit: -41.6

In3Ir | PBE | optimized geometry

Cell and atoms, written as extended XYZ:
```
4
Lattice="-3.993 1.539 -2.972 -3.257 -4.059 -0.254 2.129 2.301 4.162" Properties=species:S:1:pos:R:3 pbc="T T T"
In -2.744 1.290 -0.212
In -3.625 -1.260 -1.613
In -2.376 -1.509 1.147
Ir 0.000 0.000 0.000
```

Summary:
SG: I4/mmm, No. 139
Energy of formation, eV per atom: 0.21
Spin magnetization, μB/atom: 0.00

Question: Among the records above, which one has the highest spin magnetization?
Answer: Gd2CrCd

Question: Which formula does entry 10 have?
Answer: Pu2Ge3Os